Record 1
The following is a PBE-GGA calculation of an optimized crystal structure of Al2CuMo, from Alexandria.

abc: 2.753 4.118 5.246
angles: 90.00 94.49 90.00
Space group P2/m (No. 10)
Asymmetric unit:
Al 0.085 0.000 0.245 x2
Cu 0.000 0.500 0.500 x1
Mo 0.500 0.500 0.000 x1

E_tot	-22.80	eV for the cell shown

Record 2
The following is a PBE-GGA calculation of an optimized crystal structure of Al2CuMo, from Alexandria.

abc: 6.111 6.111 6.111
angles: 90.00 90.00 90.00
Space group Fm-3m (No. 225)
Asymmetric unit:
Al 0.250 0.250 0.250 x8
Cu 0.000 0.000 0.000 x4
Mo 0.000 0.000 0.500 x4

E_tot	-90.25	eV for the cell shown

Record 3
The following is a PBE-GGA calculation of an optimized crystal structure of Al2CuMo, from Alexandria.

abc: 9.843 2.777 4.667
angles: 90.00 113.32 90.00
Space group Cm (No. 8)
Asymmetric unit:
Al 0.000 0.000 0.000 x2
Al 0.239 0.000 0.592 x2
Cu 0.495 0.000 0.506 x2
Mo 0.250 0.500 0.095 x2

E_tot	-46.11	eV for the cell shown

Record 4
The following is a PBE-GGA calculation of an optimized crystal structure of Al4CuMo, from Alexandria.

abc: 7.156 7.156 7.156
angles: 90.00 90.00 90.00
Space group F-43m (No. 216)
Asymmetric unit:
Al 0.125 0.125 0.125 x16
Cu 0.250 0.250 0.750 x4
Mo 0.000 0.000 0.500 x4

E_tot	-115.85	eV for the cell shown

Record 5
The following is a PBE-GGA calculation of an optimized crystal structure of Al2CuMo, from Alexandria.

abc: 6.158 6.158 6.158
angles: 90.00 90.00 90.00
Space group F-43m (No. 216)
Asymmetric unit:
Al 0.000 0.000 0.000 x4
Al 0.250 0.250 0.250 x4
Cu 0.000 0.000 0.500 x4
Mo 0.250 0.250 0.750 x4

E_tot	-87.19	eV for the cell shown

Record 6
The following is a PBE-GGA calculation of an optimized crystal structure of AlCuMo, from Alexandria.

abc: 4.2165 4.2165 2.7928
angles: 90.00 90.00 120.00
Space group P-6m2 (No. 187)
Asymmetric unit:
Al 0.0000 0.0000 0.0000 x1
Cu 0.3333 0.6667 0.0000 x1
Mo 0.6667 0.3333 0.5000 x1

E_tot	-18.61	eV for the cell shown

- E_tot of number 3 (Al2CuMo)?
  -46.11 eV for the cell shown

Please write out number 4 again, unchanged.
The following is a PBE-GGA calculation of an optimized crystal structure of Al4CuMo, from Alexandria.

abc: 7.156 7.156 7.156
angles: 90.00 90.00 90.00
Space group F-43m (No. 216)
Asymmetric unit:
Al 0.125 0.125 0.125 x16
Cu 0.250 0.250 0.750 x4
Mo 0.000 0.000 0.500 x4

E_tot	-115.85	eV for the cell shown